Pr3Te2N | PBE | relaxed

Unit cell a=4.0525 b=4.0525 c=11.3353 alpha=90.00 beta=90.00 gamma=120.00
Sites, in units of the cell vectors:
Pr: 0.0000 0.0000 0.0000
Pr: 0.3333 0.6667 0.3837
Pr: 0.6667 0.3333 0.6163
Te: 0.3333 0.6667 0.8116
Te: 0.6667 0.3333 0.1884
N: 0.0000 0.0000 0.5000

Output
energy	-6.12	eV per atom
crystal system	trigonal

---

Pr2ThN3 | PBE | relaxed

Unit cell a=6.3530 b=6.3530 c=6.3530 alpha=146.40 beta=131.90 gamma=59.95
Sites, in units of the cell vectors:
Pr: 0.1671 0.1671 0.0000
Pr: 0.8329 0.8329 0.0000
Th: 0.5000 0.5000 0.0000
N: 0.0000 0.5000 0.5000
N: 0.3454 0.8454 0.5000
N: 0.6546 0.1546 0.5000

Output
energy	-8.44	eV per atom
crystal system	orthorhombic

---

Pr3ThN4 | PBE | relaxed

Unit cell a=6.3483 b=6.3483 c=3.6727 alpha=90.00 beta=90.00 gamma=109.38
Sites, in units of the cell vectors:
Pr: 0.0000 0.0000 0.0000
Pr: 0.0000 0.5000 0.5000
Pr: 0.5000 0.0000 0.5000
Th: 0.5000 0.5000 0.0000
N: 0.2575 0.7425 0.0000
N: 0.2621 0.2621 0.5000
N: 0.7379 0.7379 0.5000
N: 0.7425 0.2575 0.0000

Output
energy	-8.30	eV per atom
crystal system	orthorhombic

---

PrTm2N3 | PBE | relaxed

Unit cell a=3.4795 b=3.4795 c=8.5539 alpha=90.00 beta=90.00 gamma=120.00
Sites, in units of the cell vectors:
Pr: 0.0000 0.0000 0.0000
Tm: 0.3333 0.6667 0.3407
Tm: 0.6667 0.3333 0.6593
N: 0.0000 0.0000 0.5000
N: 0.3333 0.6667 0.8170
N: 0.6667 0.3333 0.1830

Output
energy	-8.05	eV per atom
crystal system	trigonal